[1]
VASP calculation (PBE) on a relaxed YPd4Au7 crystal.

Properties
M_tot = 0.00 μB per formula unit
ΔE_f = -0.308 eV per atom
raw total energy = -4.490 eV/atom
ΔE to the lowest computed polymorph = 0.000 eV per atom
V = 17.7 Å³ per atom

a = 5.8683 Å, b = 6.4884 Å, c = 6.5736 Å
α = 72.54°, β = 63.67°, γ = 76.95°
Fractional positions:
Y (0.0000, 0.0000, 0.0000)
Pd (0.1644, 0.6734, 0.3359)
Pd (0.4162, 0.6641, 0.8336)
Pd (0.5838, 0.3359, 0.1664)
Pd (0.8356, 0.3266, 0.6641)
Au (0.0886, 0.3466, 0.1703)
Au (0.2540, 0.0003, 0.4941)
Au (0.3365, 0.3373, 0.6622)
Au (0.5000, 0.0000, 0.0000)
Au (0.6635, 0.6627, 0.3378)
Au (0.7460, 0.9997, 0.5059)
Au (0.9114, 0.6534, 0.8297)

[2]
VASP calculation (PBE) on a relaxed LaMo2Ir crystal.

Properties
M_tot = 0.00 μB per formula unit
ΔE_f = 0.306 eV per atom
raw total energy = -8.556 eV/atom
ΔE to the lowest computed polymorph = 0.163 eV per atom
V = 18.5 Å³ per atom

a = 2.8391 Å, b = 2.8391 Å, c = 9.2050 Å
α = 90.00°, β = 90.00°, γ = 90.00°
Fractional positions:
La (0.0000, 0.0000, 0.0000)
Mo (0.5000, 0.5000, 0.2942)
Mo (0.5000, 0.5000, 0.7058)
Ir (0.0000, 0.0000, 0.5000)

[3]
VASP calculation (PBE) on a relaxed Nd3SmSi4 crystal.

Properties
M_tot = 0.00 μB per formula unit
raw total energy = -5.619 eV/atom
formation energy (no corrections) = -0.530 eV per atom
V = 26.7 Å³ per atom

a = 8.9078 Å, b = 8.9078 Å, c = 8.9078 Å
α = 153.08°, β = 137.86°, γ = 50.71°
Fractional positions:
Nd (0.0000, 0.0000, 0.0000)
Nd (0.3062, 0.8062, 0.5000)
Nd (0.6938, 0.1938, 0.5000)
Sm (0.5000, 0.5000, 0.0000)
Si (0.0515, 0.3692, 0.6823)
Si (0.3131, 0.6308, 0.6823)
Si (0.6869, 0.3692, 0.3177)
Si (0.9485, 0.6308, 0.3177)

[4]
VASP calculation (PBE) on a relaxed TlIr2Os crystal.

Properties
M_tot = 0.00 μB per formula unit
ΔE_f = 0.633 eV per atom
raw total energy = -7.197 eV/atom
ΔE to the lowest computed polymorph = 0.262 eV per atom
V = 18.4 Å³ per atom

a = 6.9108 Å, b = 6.9108 Å, c = 6.9108 Å
α = 156.64°, β = 145.60°, γ = 42.00°
Fractional positions:
Tl (0.0000, 0.0000, 0.0000)
Ir (0.3382, 0.8382, 0.5000)
Ir (0.6062, 0.6062, 0.0000)
Os (0.7704, 0.2704, 0.5000)

[5]
VASP calculation (PBE) on a relaxed Sc3GaO crystal.

Properties
M_tot = 0.00 μB per formula unit
raw total energy = -6.736 eV/atom
formation energy (no corrections) = -1.340 eV per atom
V = 19.1 Å³ per atom

a = 5.1041 Å, b = 11.9009 Å, c = 6.2921 Å
α = 90.00°, β = 90.00°, γ = 90.00°
Fractional positions:
Sc (0.0008, 0.1163, 0.1038)
Sc (0.0008, 0.3837, 0.1038)
Sc (0.0201, 0.7500, 0.4270)
Sc (0.4799, 0.2500, 0.9270)
Sc (0.4992, 0.6163, 0.6038)
Sc (0.4992, 0.8837, 0.6038)
Sc (0.5008, 0.1163, 0.3962)
Sc (0.5008, 0.3837, 0.3962)
Sc (0.5201, 0.7500, 0.0730)
Sc (0.9799, 0.2500, 0.5730)
Sc (0.9992, 0.6163, 0.8962)
Sc (0.9992, 0.8837, 0.8962)
Ga (0.0000, 0.0000, 0.5000)
Ga (0.0000, 0.5000, 0.5000)
Ga (0.5000, 0.0000, 0.0000)
Ga (0.5000, 0.5000, 0.0000)
O (0.0608, 0.2500, 0.8969)
O (0.4392, 0.7500, 0.3969)
O (0.5608, 0.2500, 0.6031)
O (0.9392, 0.7500, 0.1031)

[6]
VASP calculation (PBE) on a relaxed ZrBe3Ir crystal.

Properties
M_tot = 0.00 μB per formula unit
ΔE_f = -0.105 eV per atom
raw total energy = -5.822 eV/atom
ΔE to the lowest computed polymorph = 0.000 eV per atom
V = 14.3 Å³ per atom

a = 4.1529 Å, b = 4.1529 Å, c = 4.1529 Å
α = 90.00°, β = 90.00°, γ = 90.00°
Fractional positions:
Zr (0.0000, 0.0000, 0.0000)
Be (0.0000, 0.5000, 0.5000)
Be (0.5000, 0.0000, 0.5000)
Be (0.5000, 0.5000, 0.0000)
Ir (0.5000, 0.5000, 0.5000)